# 1
Compound: TlOs2Se
Source: Alexandria
Functional: PBE
Structure: relaxed

Properties
* crystal system: monoclinic
* E_form (uncorrected): 0.693 eV/atom
* space-group type: Cm (8)
* DOS at the Fermi energy: 1.379 states/eV per cell
* E_tot: -6.385 eV per atom
* energy relative to the lowest polymorph listed for this composition: 0.225 eV per atom
* M_tot: 0.000 μB per cell

a b c (Å): 4.7946 4.7946 6.6705
angles (deg): 79.32 79.32 36.10
Element x y z (fractional)
Os  0.7550  0.7550  0.7928
Os  0.0229  0.0229  0.8981
Tl  0.2594  0.2594  0.1927
Se  0.4627  0.4627  0.6165



# 2
Compound: LiReHg
Source: Alexandria
Functional: PBE
Structure: relaxed

Properties
* crystal system: trigonal
* space-group type: P3m1 (156)
* DOS at the Fermi energy: 1.106 states/eV per cell
* E_tot: -4.452 eV per atom
* energy of formation: 0.4357 eV/atom
* energy relative to the lowest polymorph listed for this composition: 0.000 eV per atom
* M_tot: 0.000 μB per cell

a b c (Å): 2.8029 2.8029 7.3673
angles (deg): 90.00 90.00 120.00
Element x y z (fractional)
Re  0.6667  0.3333  0.6486
Li  0.3333  0.6667  0.3421
Hg  0.0000  0.0000  0.0093



# 3
Compound: TcSbAs2
Source: Alexandria
Functional: PBE
Structure: relaxed

Properties
* crystal system: tetragonal
* E_form (uncorrected): 0.469 eV/atom
* space-group type: I-4m2 (119)
* DOS at the Fermi energy: 1.935 states/eV per cell
* E_tot: -5.478 eV per atom
* M_tot: 0.000 μB per cell

a b c (Å): 4.8238 4.8238 4.8238
angles (deg): 124.42 124.42 82.51
Element x y z (fractional)
Tc  0.7500  0.2500  0.5000
As  0.2500  0.7500  0.5000
Sb  0.5000  0.5000  0.0000
As  0.0000  0.0000  0.0000



# 4
Compound: ZnCoB3
Source: Alexandria
Functional: PBE
Structure: relaxed

Properties
* crystal system: cubic
* space-group type: Pm-3m (221)
* DOS at the Fermi energy: 4.118 states/eV per cell
* E_tot: -3.572 eV per atom
* energy of formation: 2.1109 eV/atom
* energy relative to the lowest polymorph listed for this composition: 1.201 eV per atom
* M_tot: 1.189 μB per cell

a b c (Å): 3.8878 3.8878 3.8878
angles (deg): 90.00 90.00 90.00
Element x y z (fractional)
B  0.0000  0.0000  0.5000
B  0.0000  0.5000  0.0000
Zn  0.0000  0.0000  0.0000
B  0.5000  0.0000  0.0000
Co  0.5000  0.5000  0.5000



# 5
Compound: HOsCN
Source: Alexandria
Functional: PBE
Structure: relaxed

Properties
* crystal system: triclinic
* space-group type: P1 (1)
* DOS at the Fermi energy: 0.982 states/eV per cell
* E_tot: -7.500 eV per atom
* energy relative to the lowest polymorph listed for this composition: 0.092 eV per atom
* M_tot: 0.000 μB per cell

a b c (Å): 3.0127 3.3500 4.2248
angles (deg): 70.18 85.71 63.98
Element x y z (fractional)
N  0.4866  0.9243  0.6023
H  0.1848  0.8518  0.6411
C  0.3589  0.3302  0.3069
Os  0.6560  0.7858  0.1190



# 6
Compound: SmTm2PaP4
Source: Alexandria
Functional: PBE
Structure: relaxed

Properties
* crystal system: monoclinic
* space-group type: P2/m (10)
* DOS at the Fermi energy: 4.805 states/eV per cell
* E_tot: -7.122 eV per atom
* energy of formation: -1.5224 eV/atom
* M_tot: 0.000 μB per cell

a b c (Å): 3.9939 6.8725 6.9176
angles (deg): 70.50 90.00 90.00
Element x y z (fractional)
Pa  0.0000  0.5000  0.5000
P  0.0000  0.7547  0.7409
P  0.5000  0.2472  0.7458
Tm  0.5000  0.0000  0.5000
Sm  0.5000  0.5000  0.0000
Tm  0.0000  0.0000  0.0000
P  0.0000  0.2453  0.2591
P  0.5000  0.7528  0.2542



# 7
Compound: PaTaSn
Source: Alexandria
Functional: PBE
Structure: relaxed

Properties
* crystal system: tetragonal
* space-group type: I4/mmm (139)
* DOS at the Fermi energy: 6.942 states/eV per cell
* E_tot: -8.471 eV per atom
* energy of formation: -0.0202 eV/atom
* energy relative to the lowest polymorph listed for this composition: 0.000 eV per atom
* M_tot: 0.000 μB per cell

a b c (Å): 4.3925 4.3925 8.1520
angles (deg): 105.63 105.63 90.00
Element x y z (fractional)
Sn  0.6335  0.6335  0.2671
Pa  0.8470  0.8470  0.6940
Sn  0.3665  0.3665  0.7329
Ta  0.5000  0.0000  0.0000
Pa  0.1530  0.1530  0.3060
Ta  0.0000  0.5000  0.0000



# 8
Compound: TcRh2Cl
Source: Alexandria
Functional: PBE
Structure: relaxed

Properties
* crystal system: orthorhombic
* E_form (uncorrected): 0.299 eV/atom
* space-group type: Pmm2 (25)
* DOS at the Fermi energy: 6.768 states/eV per cell
* E_tot: -6.429 eV per atom
* energy relative to the lowest polymorph listed for this composition: 0.127 eV per atom
* M_tot: 0.124 μB per cell

a b c (Å): 3.5451 2.8389 6.5806
angles (deg): 89.96 90.00 90.00
Element x y z (fractional)
Rh  0.0000  0.7503  0.0513
Tc  0.0000  0.7498  0.4536
Cl  0.5000  0.7500  0.7296
Rh  0.5000  0.2499  0.2655



# 9
Compound: AcTmInRh
Source: Alexandria
Functional: PBE
Structure: relaxed

Properties
* crystal system: cubic
* space-group type: F-43m (216)
* DOS at the Fermi energy: 3.354 states/eV per cell
* E_tot: -5.056 eV per atom
* energy of formation: -0.3882 eV/atom
* M_tot: 0.000 μB per cell

a b c (Å): 5.3067 5.3067 5.3067
angles (deg): 60.00 60.00 60.00
Element x y z (fractional)
Tm  0.5000  0.5000  0.5000
Ac  0.0000  0.0000  0.0000
In  0.7500  0.7500  0.7500
Rh  0.2500  0.2500  0.2500



# 10
Compound: Co2RhCl
Source: Alexandria
Functional: PBE
Structure: relaxed

Properties
* crystal system: cubic
* E_form (uncorrected): 0.702 eV/atom
* space-group type: Fm-3m (225)
* DOS at the Fermi energy: 4.805 states/eV per cell
* E_tot: -5.150 eV per atom
* energy relative to the lowest polymorph listed for this composition: 0.479 eV per atom
* M_tot: 4.762 μB per cell

a b c (Å): 4.2759 4.2759 4.2759
angles (deg): 60.00 60.00 60.00
Element x y z (fractional)
Co  0.2500  0.2500  0.2500
Cl  0.0000  0.0000  0.0000
Rh  0.5000  0.5000  0.5000
Co  0.7500  0.7500  0.7500



Question: What is the M_tot in the first record?
Answer: 0.000 μB per cell